Computed, not measured: a geometry-optimized DyPaCoRh structure at the PBE-GGA level of DFT.

E above lowest polymorph	0.0000	eV/atom
energy	-0.2835	hartree per atom
density of states at the Fermi level	2.7	states/eV/f.u.

Unit cell a=3.663 b=3.893 c=5.937 alpha=90.00 beta=107.97 gamma=90.00
Sites, in units of the cell vectors:
Dy1 0.149 0.000 0.298
Pa1 0.876 0.500 0.752
Co1 0.400 0.000 0.801
Rh1 0.575 0.500 0.149


Computed, not measured: a geometry-optimized DyPaCoRu structure at the PBE-GGA level of DFT.

energy	-0.2890	hartree per atom
density of states at the Fermi level	4.6	states/eV/f.u.

Unit cell a=4.779 b=4.779 c=4.779 alpha=60.00 beta=60.00 gamma=60.00
Sites, in units of the cell vectors:
Pa1 0.500 0.500 0.500
Dy1 0.000 0.000 0.000
Ru1 0.750 0.750 0.750
Co1 0.250 0.250 0.250


Computed, not measured: a geometry-optimized Dy2ScPaCo2 structure at the PBE-GGA level of DFT.

energy	-0.2487	hartree per atom
density of states at the Fermi level	6.8	states/eV/f.u.

Unit cell a=6.611 b=6.475 c=7.798 alpha=114.53 beta=115.08 gamma=90.00
Sites, in units of the cell vectors:
Co1 0.411 0.634 0.821
Dy1 0.195 0.446 0.390
Co2 0.911 0.187 0.821
Sc1 0.250 0.000 0.000
Dy2 0.695 0.944 0.390
Pa1 0.750 0.500 0.000
Co3 0.089 0.813 0.179
Sc2 0.750 0.000 0.000
Pa2 0.250 0.500 0.000
Dy3 0.305 0.056 0.610
Dy4 0.805 0.554 0.610
Co4 0.589 0.366 0.179


Q: Look up the density of states at the Fermi level of the first one.
A: 2.7 states/eV/f.u.